No. 1
# InPd2Au6

A relaxed InPd2Au6 crystal (GGA-PBE, Alexandria).

- magnetization (μB/cell) = 0.0
- energy of formation from the pure elements (eV per atom) = -0.115
- crystal system = monoclinic

abc: 7.2780 7.2780 7.5183
angles: 114.93 114.93 86.85
Element x y z (fractional)
In 0.1675 0.8325 0.7500
In 0.8325 0.1675 0.2500
Pd 0.2047 0.4259 0.5676
Pd 0.4259 0.2047 0.0676
Pd 0.5741 0.7953 0.9324
Pd 0.7953 0.5741 0.4324
Au 0.0105 0.2016 0.6893
Au 0.0856 0.3782 0.1385
Au 0.2016 0.0105 0.1893
Au 0.3274 0.5745 0.0230
Au 0.3782 0.0856 0.6385
Au 0.4255 0.6726 0.4770
Au 0.5745 0.3274 0.5230
Au 0.6218 0.9144 0.3615
Au 0.6726 0.4255 0.9770
Au 0.7984 0.9895 0.8107
Au 0.9144 0.6218 0.8615
Au 0.9895 0.7984 0.3107

No. 2
# Pr2NdTh

A relaxed Pr2NdTh crystal (GGA-PBE, Alexandria).

- magnetization (μB/cell) = 0.0
- energy of formation from the pure elements (eV per atom) = 0.029
- crystal system = hexagonal

abc: 3.6671 3.6671 23.9143
angles: 90.00 90.00 120.00
Element x y z (fractional)
Pr 0.3333 0.6667 0.1217
Pr 0.3333 0.6667 0.3783
Pr 0.6667 0.3333 0.6217
Pr 0.6667 0.3333 0.8783
Nd 0.3333 0.6667 0.7500
Nd 0.6667 0.3333 0.2500
Th 0.0000 0.0000 0.0000
Th 0.0000 0.0000 0.5000

No. 3
# ScAgRu2

A relaxed ScAgRu2 crystal (GGA-PBE, Alexandria).

- magnetization (μB/cell) = 0.0
- energy of formation from the pure elements (eV per atom) = 0.105
- crystal system = cubic

abc: 6.3846 6.3846 6.3846
angles: 90.00 90.00 90.00
Element x y z (fractional)
Sc 0.0000 0.0000 0.0000
Sc 0.0000 0.5000 0.5000
Sc 0.5000 0.0000 0.5000
Sc 0.5000 0.5000 0.0000
Ag 0.2500 0.2500 0.2500
Ag 0.2500 0.7500 0.7500
Ag 0.7500 0.2500 0.7500
Ag 0.7500 0.7500 0.2500
Ru 0.0000 0.0000 0.5000
Ru 0.0000 0.5000 0.0000
Ru 0.2500 0.2500 0.7500
Ru 0.2500 0.7500 0.2500
Ru 0.5000 0.0000 0.0000
Ru 0.5000 0.5000 0.5000
Ru 0.7500 0.2500 0.2500
Ru 0.7500 0.7500 0.7500

No. 4
# Pm6Sm3Ho2

A relaxed Pm6Sm3Ho2 crystal (GGA-PBE, Alexandria).

- magnetization (μB/cell) = 0.0
- energy of formation from the pure elements (eV per atom) = 0.279
- crystal system = tetragonal

abc: 17.1799 17.1799 17.1799
angles: 163.93 163.93 22.80
Element x y z (fractional)
Pm 0.1198 0.6198 0.5000
Pm 0.1993 0.1993 0.0000
Pm 0.3802 0.8802 0.5000
Pm 0.6198 0.1198 0.5000
Pm 0.8007 0.8007 0.0000
Pm 0.8802 0.3802 0.5000
Sm 0.3013 0.3013 0.0000
Sm 0.5000 0.5000 0.0000
Sm 0.6987 0.6987 0.0000
Ho 0.0454 0.0454 0.0000
Ho 0.9546 0.9546 0.0000

No. 5
# HfSb2ICl

A relaxed HfSb2ICl crystal (GGA-PBE, Alexandria).

- magnetization (μB/cell) = 0.0
- uncorrected formation energy (meV per atom) = 25
- crystal system = tetragonal

abc: 5.5604 5.5604 5.5365
angles: 90.00 90.00 90.00
Element x y z (fractional)
Hf 0.0000 0.0000 0.0000
Sb 0.0000 0.5000 0.0000
Sb 0.5000 0.0000 0.0000
I 0.0000 0.0000 0.5000
Cl 0.5000 0.5000 0.5000

No. 6
# Li5GeHN2

A relaxed Li5GeHN2 crystal (GGA-PBE, Alexandria).

- magnetization (μB/cell) = 0.0
- crystal system = tetragonal

abc: 3.9901 3.9901 7.5600
angles: 90.00 90.00 90.00
Element x y z (fractional)
Li 0.0000 0.0000 0.0000
Li 0.0000 0.5000 0.2391
Li 0.0000 0.5000 0.7609
Li 0.5000 0.0000 0.2391
Li 0.5000 0.0000 0.7609
Ge 0.0000 0.0000 0.5000
H 0.5000 0.5000 0.0000
N 0.0000 0.0000 0.2552
N 0.0000 0.0000 0.7448

no.,final energy (eV/atom)
1,-3.7577
2,-5.4072
3,-6.8290
4,-4.4319
5,-4.2936
6,-3.9608